Record 1
DFT (PBEsol) results for NiAgTe2 after structural relaxation.

a = 4.467 Å, b = 4.554 Å, c = 4.554 Å
α = 109.74°, β = 90.00°, γ = 90.00°
Sites, in units of the cell vectors:
Ni (0.500, 0.268, 0.732)
Te (0.500, 0.674, 0.326)
Ag (0.000, 0.467, 0.533)
Te (0.000, 0.100, 0.900)

Calculated values
Space-group type ... Amm2
Total DFT energy (no corrections) ... -16.45 eV for the cell shown
Formation energy without anion corrections ... 0.1 eV/f.u.

Record 2
DFT (PBEsol) results for NiAgTe2 after structural relaxation.

a = 3.734 Å, b = 3.734 Å, c = 7.183 Å
α = 74.93°, β = 74.93°, γ = 60.00°
Sites, in units of the cell vectors:
Te (0.736, 0.736, 0.793)
Ag (0.500, 0.500, 0.500)
Ni (0.000, 0.000, 0.000)
Te (0.264, 0.264, 0.207)

Calculated values
Space-group type ... R-3m
Total DFT energy (no corrections) ... -16.90 eV for the cell shown
Formation energy without anion corrections ... -0.4 eV/f.u.

Record 3
DFT (PBEsol) results for NiAgTeW2 after structural relaxation.

a = 4.794 Å, b = 4.794 Å, c = 5.067 Å
α = 90.00°, β = 90.00°, γ = 90.00°
Sites, in units of the cell vectors:
W (0.500, 0.000, 0.000)
Ni (0.500, 0.500, 0.500)
Te (0.000, 0.000, 0.500)
W (0.000, 0.500, 0.000)
Ag (0.000, 0.000, 0.000)

Calculated values
Space-group type ... P4/mmm
Total DFT energy (no corrections) ... -26.04 eV for the cell shown
Formation energy without anion corrections ... 14.6 eV/f.u.